A plane-wave DFT calculation with PBE+U was carried out for crystalline GdFe4Bi3O12 at its relaxed geometry.

abc: 7.8560 5.4690 5.7224
angles: 89.92 90.00 90.00
Each line ends with the local moment (μB).
Positions (direct):
Fe  0.7488  0.5014  0.9962  4.36
O  0.3035  0.6908  0.6949  0.18
O  0.0000  0.6013  0.9699  0.17
O  0.7964  0.3082  0.3037  0.17
O  0.2035  0.1902  0.8059  0.17
O  0.5000  0.3994  0.0385  0.17
Bi  0.5000  0.9902  0.9441  0.01
O  0.6943  0.7985  0.2046  0.18
Gd  0.5000  0.5165  0.4367  -6.91
Bi  0.0000  0.4914  0.5482  0.01
Fe  0.2512  0.5014  0.9962  4.36
O  0.6965  0.6908  0.6949  0.18
O  0.5000  0.1078  0.5289  0.18
O  0.3057  0.7985  0.2046  0.18
Fe  0.2528  0.0004  0.5000  4.36
O  0.0000  0.9007  0.4704  0.16
O  0.2036  0.3082  0.3037  0.17
Fe  0.7472  0.0004  0.5000  4.36
Bi  0.0000  0.0135  0.0523  0.01
O  0.7965  0.1902  0.8059  0.17

Output
- Magnetization: 13.01 μB per formula unit
- Uncorrected energy: -140.2 eV for the cell shown